Entry 1:
Compound: Tb3Cu2Ni7
Source: OQMD via LeMat-Bulk
Functional: GGA-PBE
Structure: optimized geometry

Cell: 8.5785 8.5785 8.5785 Å, 33.96 33.96 33.96°
Last column: nearest neighbours and their distance in Å.
Positions (direct):
1 Tb 0.0000 0.0000 0.0000  6 Cu 2.89, 12 Ni 3.21
2 Tb 0.1390 0.1390 0.1390  12 Ni 2.85-3.06, 3 Tb 3.19
3 Tb 0.8610 0.8610 0.8610  12 Ni 2.85-3.06, 3 Tb 3.19
4 Cu 0.3335 0.3335 0.3335  6 Ni 2.48
5 Cu 0.6665 0.6665 0.6665  6 Ni 2.48
6 Ni 0.0814 0.5837 0.5837  2 Cu 2.48, 5 Ni 2.49-2.52
7 Ni 0.4163 0.4163 0.9186  2 Cu 2.48, 5 Ni 2.49-2.52
8 Ni 0.4163 0.9186 0.4163  2 Cu 2.48, 5 Ni 2.49-2.52
9 Ni 0.5000 0.5000 0.5000  6 Ni 2.49
10 Ni 0.5837 0.0814 0.5837  2 Cu 2.48, 5 Ni 2.49-2.52
11 Ni 0.5837 0.5837 0.0814  2 Cu 2.48, 5 Ni 2.49-2.52
12 Ni 0.9186 0.4163 0.4163  2 Cu 2.48, 5 Ni 2.49-2.52

Summary:
VASP energy: -64.999 eV for the cell shown
spin magnetization: 0.00 μB per formula unit
theoretical density: 9.59 g cm⁻³
energy relative to the elements: -0.392 eV per atom



Entry 2:
Compound: AgBiAu
Source: OQMD via LeMat-Bulk
Functional: GGA-PBE
Structure: optimized geometry

Cell: 6.7503 6.7503 6.7503 Å, 90.00 90.00 90.00°
Last column: nearest neighbours and their distance in Å.
Positions (direct):
1 Ag 0.0000 0.0000 0.0000  4 Bi 2.92
2 Ag 0.0000 0.5000 0.5000  4 Bi 2.92
3 Ag 0.5000 0.0000 0.5000  4 Bi 2.92
4 Ag 0.5000 0.5000 0.0000  4 Bi 2.92
5 Bi 0.2500 0.2500 0.2500  4 Ag 2.92, 4 Au 2.92
6 Bi 0.2500 0.7500 0.7500  4 Ag 2.92, 4 Au 2.92
7 Bi 0.7500 0.2500 0.7500  4 Ag 2.92, 4 Au 2.92
8 Bi 0.7500 0.7500 0.2500  4 Ag 2.92, 4 Au 2.92
9 Au 0.0000 0.0000 0.5000  4 Bi 2.92
10 Au 0.0000 0.5000 0.0000  4 Bi 2.92
11 Au 0.5000 0.0000 0.0000  4 Bi 2.92
12 Au 0.5000 0.5000 0.5000  4 Bi 2.92

Summary:
VASP energy: -38.887 eV for the cell shown
theoretical density: 11.10 g cm⁻³
energy relative to the lowest polymorph listed for this composition: 0.1460 eV/atom



Entry 3:
Compound: TbAgNO
Source: OQMD via LeMat-Bulk
Functional: GGA-PBE
Structure: optimized geometry

Cell: 3.8553 3.8553 7.7210 Å, 90.00 90.00 90.00°
Last column: nearest neighbours and their distance in Å.
Positions (direct):
1 Tb 0.2500 0.2500 0.1468  4 O 2.24
2 Tb 0.7500 0.7500 0.8532  4 O 2.24
3 Ag 0.2500 0.7500 0.5000  4 N 2.37
4 Ag 0.7500 0.2500 0.5000  4 N 2.37
5 N 0.2500 0.2500 0.6783  4 Ag 2.37
6 N 0.7500 0.7500 0.3217  4 Ag 2.37
7 O 0.2500 0.7500 0.0000  4 Tb 2.24
8 O 0.7500 0.2500 0.0000  4 Tb 2.24

Summary:
VASP energy: -49.386 eV for the cell shown
spin magnetization: 1.00 μB per formula unit
theoretical density: 8.59 g cm⁻³
energy relative to the lowest polymorph listed for this composition: 0.1733 eV/atom



Entry 4:
Compound: LuCoNiSn
Source: OQMD via LeMat-Bulk
Functional: GGA-PBE
Structure: optimized geometry

Cell: 6.4810 6.4810 6.4810 Å, 90.00 90.00 90.00°
Last column: nearest neighbours and their distance in Å.
Positions (direct):
1 Lu 0.0000 0.0000 0.0000  4 Sn 2.81, 4 Ni 2.81
2 Lu 0.0000 0.5000 0.5000  4 Sn 2.81, 4 Ni 2.81
3 Lu 0.5000 0.0000 0.5000  4 Sn 2.81, 4 Ni 2.81
4 Lu 0.5000 0.5000 0.0000  4 Sn 2.81, 4 Ni 2.81
5 Co 0.0000 0.0000 0.5000  4 Sn 2.81, 4 Ni 2.81
6 Co 0.0000 0.5000 0.0000  4 Sn 2.81, 4 Ni 2.81
7 Co 0.5000 0.0000 0.0000  4 Sn 2.81, 4 Ni 2.81
8 Co 0.5000 0.5000 0.5000  4 Sn 2.81, 4 Ni 2.81
9 Ni 0.2500 0.2500 0.7500  4 Co 2.81, 4 Lu 2.81
10 Ni 0.2500 0.7500 0.2500  4 Co 2.81, 4 Lu 2.81
11 Ni 0.7500 0.2500 0.2500  4 Co 2.81, 4 Lu 2.81
12 Ni 0.7500 0.7500 0.7500  4 Co 2.81, 4 Lu 2.81
13 Sn 0.2500 0.2500 0.2500  4 Co 2.81, 4 Lu 2.81
14 Sn 0.2500 0.7500 0.7500  4 Co 2.81, 4 Lu 2.81
15 Sn 0.7500 0.2500 0.7500  4 Co 2.81, 4 Lu 2.81
16 Sn 0.7500 0.7500 0.2500  4 Co 2.81, 4 Lu 2.81

Summary:
VASP energy: -85.141 eV for the cell shown
spin magnetization: 1.35 μB per formula unit
theoretical density: 10.04 g cm⁻³
energy relative to the lowest polymorph listed for this composition: 0.3753 eV/atom



Entry 5:
Compound: BaInGaPd2
Source: OQMD via LeMat-Bulk
Functional: GGA-PBE
Structure: optimized geometry

Cell: 4.7800 4.7800 10.4349 Å, 90.00 90.00 90.00°
Last column: nearest neighbours and their distance in Å.
Positions (direct):
1 Ba 0.2500 0.2500 0.2504  9 Pd 3.54-3.71, 4 Ga 3.54, 5 In 3.61-3.94
2 Ba 0.7500 0.7500 0.7496  9 Pd 3.54-3.71, 4 Ga 3.54, 5 In 3.61-3.94
3 In 0.2500 0.2500 0.6278  5 Pd 2.74-2.80
4 In 0.7500 0.7500 0.3722  5 Pd 2.74-2.80
5 Ga 0.2500 0.7500 0.0000  4 Pd 2.62
6 Ga 0.7500 0.2500 0.0000  4 Pd 2.62
7 Pd 0.2500 0.2500 0.8966  4 Ga 2.62, 1 In 2.80
8 Pd 0.2500 0.7500 0.5000  4 In 2.74
9 Pd 0.7500 0.2500 0.5000  4 In 2.74
10 Pd 0.7500 0.7500 0.1034  4 Ga 2.62, 1 In 2.80

Summary:
VASP energy: -42.241 eV for the cell shown
theoretical density: 7.45 g cm⁻³
energy relative to the lowest polymorph listed for this composition: 0.0403 eV/atom